1.
DFT (GGA-PBE) results for MgSc2InAu4 after structural relaxation.

a = 4.7648 Å, b = 4.7648 Å, c = 23.4299 Å
α = 90.00°, β = 90.00°, γ = 120.00°
Last column: nearest neighbours and their distance in Å.
Space group R-3m (No. 166, hexagonal axes)
Inequivalent atoms, fractional coordinates:
Mg: 0.0000 0.0000 0.0000 x3  8 Au 2.81-2.89
Sc: 0.0000 0.0000 0.2479 x6  8 Au 2.87-3.00
In: 0.0000 0.0000 0.5000 x3  8 Au 2.96-3.04
Au: 0.0000 0.0000 0.1200 x6  1 Mg 2.81, 4 Sc 2.87-3.00, 3 In 2.96
Au: 0.0000 0.0000 0.3704 x6  4 Sc 2.87-2.97, 3 Mg 2.88-2.89, 1 In 3.04

## Properties
**Mass density**: 11.0 g/cm3
**Energy relative to the elements**: -0.70 eV per atom
**N(E_F)**: 11.970 states/eV per cell
**Crystal system**: trigonal

2.
DFT (GGA-PBE) results for Sr3CrIn after structural relaxation.

a = 6.3411 Å, b = 6.3411 Å, c = 6.3411 Å
α = 90.00°, β = 90.00°, γ = 90.00°
Last column: nearest neighbours and their distance in Å.
Space group Pm-3m (No. 221)
Inequivalent atoms, fractional coordinates:
Sr: 0.0000 0.0000 0.5000 x3  2 In 3.17
Cr: 0.5000 0.5000 0.5000 x1  12 Sr 4.48
In: 0.0000 0.0000 0.0000 x1  6 Sr 3.17

## Properties
**Mass density**: 2.8 g/cm3
**ΔE to the lowest computed polymorph**: 0 meV per atom
**Energy relative to the elements**: 0.51 eV per atom
**N(E_F)**: 3.016 states/eV per cell
**Crystal system**: cubic

3.
DFT (GGA-PBE) results for Pr2Si2Hg after structural relaxation.

a = 11.2737 Å, b = 4.4847 Å, c = 11.1310 Å
α = 90.00°, β = 119.68°, γ = 90.00°
Last column: nearest neighbours and their distance in Å.
Space group C2/m (No. 12)
Inequivalent atoms, fractional coordinates:
Pr: 0.1017 0.0000 0.4085 x4  6 Si 3.04-3.31, 2 Hg 3.26
Pr: 0.2053 0.5000 0.1589 x4  7 Si 3.22-3.49, 4 Hg 3.22-3.34
Si: 0.0247 0.0000 0.9096 x4  1 Si 2.34
Si: 0.1192 0.5000 0.6006 x4  1 Si 2.51, 1 Hg 2.71
Hg: 0.0813 0.5000 0.8229 x4  3 Si 2.64-2.71

## Properties
**Mass density**: 7.3 g/cm3
**Raw formation energy**: -52 kJ per mole of atoms
**N(E_F)**: 14.417 states/eV per cell
**Crystal system**: monoclinic

4.
DFT (GGA-PBE) results for Th4AlCu after structural relaxation.

a = 7.3319 Å, b = 7.3319 Å, c = 12.2245 Å
α = 90.00°, β = 90.00°, γ = 90.00°
Last column: nearest neighbours and their distance in Å.
Space group I4/mcm (No. 140)
Inequivalent atoms, fractional coordinates:
Th: 0.1577 0.3423 0.1342 x16  2 Cu 3.10, 2 Al 3.21, 3 Th 3.27-3.42
Al: 0.0000 0.0000 0.0000 x4  2 Cu 3.06, 8 Th 3.21
Cu: 0.0000 0.0000 0.2500 x4  2 Al 3.06, 8 Th 3.10

## Properties
**Mass density**: 10.3 g/cm3
**ΔE to the lowest computed polymorph**: 144 meV per atom
**Energy relative to the elements**: -0.02 eV per atom
**N(E_F)**: 28.786 states/eV per cell
**Crystal system**: tetragonal

5.
DFT (GGA-PBE) results for K3PrU2Te6 after structural relaxation.

a = 7.8837 Å, b = 13.6557 Å, c = 8.6993 Å
α = 90.00°, β = 107.59°, γ = 90.00°
Last column: nearest neighbours and their distance in Å.
Space group C2/m (No. 12)
Inequivalent atoms, fractional coordinates:
K: 0.0000 0.0000 0.0000 x2  6 Te 3.50-3.56
K: 0.0000 0.3357 0.0000 x4  6 Te 3.52-3.56
Pr: 0.0000 0.5000 0.5000 x2  6 Te 3.22
U: 0.0000 0.1671 0.5000 x4  6 Te 3.14-3.15
Te: 0.2302 0.0000 0.7131 x4  2 U 3.15, 1 Pr 3.22, 1 K 3.50
Te: 0.2418 0.3297 0.7139 x8  2 U 3.14-3.15, 1 Pr 3.22, 1 K 3.52

## Properties
**Mass density**: 5.6 g/cm3
**Raw formation energy**: -100 kJ per mole of atoms
**N(E_F)**: 29.369 states/eV per cell
**Crystal system**: monoclinic

6.
DFT (GGA-PBE) results for SnPdSeN2 after structural relaxation.

a = 4.0652 Å, b = 4.0652 Å, c = 5.6624 Å
α = 90.00°, β = 90.00°, γ = 90.00°
Last column: nearest neighbours and their distance in Å.
Space group P4/mmm (No. 123)
Inequivalent atoms, fractional coordinates:
Sn: 0.0000 0.0000 0.0000 x1  4 N 2.03
Pd: 0.5000 0.5000 0.5000 x1  4 Se 2.87
Se: 0.0000 0.0000 0.5000 x1  2 Sn 2.83, 4 Pd 2.87
N: 0.0000 0.5000 0.0000 x2  2 Sn 2.03

## Properties
**Mass density**: 5.9 g/cm3
**ΔE to the lowest computed polymorph**: 158 meV per atom
**Raw formation energy**: 128 kJ per mole of atoms
**N(E_F)**: 2.010 states/eV per cell
**Crystal system**: tetragonal

7.
DFT (GGA-PBE) results for Na2In5Sn4 after structural relaxation.

a = 6.5156 Å, b = 6.5700 Å, c = 8.2019 Å
α = 91.11°, β = 105.69°, γ = 109.44°
Last column: nearest neighbours and their distance in Å.
Space group P-1 (No. 2)
Inequivalent atoms, fractional coordinates:
Na: 0.0192 0.2514 0.1674 x2  6 Sn 3.27-3.58, 4 In 3.45-3.66
In: 0.2756 0.1020 0.5692 x2  3 Sn 2.99-3.17, 3 In 3.12-3.24
In: 0.3133 0.5867 0.5466 x2  3 Sn 3.07-3.32, 3 In 3.12-3.26
In: 0.5000 0.5000 0.0000 x1  4 Sn 3.16-3.27
Sn: 0.0190 0.7395 0.2509 x2  5 In 3.07-3.32, 1 Sn 3.11, 2 Na 3.27-3.38
Sn: 0.4310 0.0523 0.1515 x2  3 In 2.99-3.16, 2 Sn 3.00-3.11, 1 Na 3.34

## Properties
**Mass density**: 5.7 g/cm3
**ΔE to the lowest computed polymorph**: 0 meV per atom
**Energy relative to the elements**: -0.04 eV per atom
**N(E_F)**: 4.209 states/eV per cell
**Crystal system**: triclinic

8.
DFT (GGA-PBE) results for MgTlN2O after structural relaxation.

a = 4.2764 Å, b = 4.2764 Å, c = 4.3433 Å
α = 90.00°, β = 90.00°, γ = 90.00°
Last column: nearest neighbours and their distance in Å.
Space group P4/mmm (No. 123)
Inequivalent atoms, fractional coordinates:
Mg: 0.0000 0.0000 0.0000 x1  4 O 3.02, 8 N 3.05
Tl: 0.5000 0.5000 0.5000 x1  4 N 2.14, 2 O 2.17
N: 0.0000 0.5000 0.5000 x2  2 Tl 2.14
O: 0.5000 0.5000 0.0000 x1  2 Tl 2.17

## Properties
**Mass density**: 5.7 g/cm3
**Raw formation energy**: 122 kJ per mole of atoms
**N(E_F)**: 3.798 states/eV per cell
**Crystal system**: tetragonal

9.
DFT (GGA-PBE) results for TaP2W after structural relaxation.

a = 3.8848 Å, b = 3.8848 Å, c = 7.9592 Å
α = 90.00°, β = 90.00°, γ = 90.00°
Last column: nearest neighbours and their distance in Å.
Space group I-4m2 (No. 119)
Inequivalent atoms, fractional coordinates:
Ta: 0.0000 0.0000 0.0000 x2  8 P 2.75-2.78, 4 W 2.78
P: 0.0000 0.0000 0.5000 x2  4 Ta 2.75, 4 W 2.78, 4 P 2.78
P: 0.0000 0.5000 0.2500 x2  4 W 2.75, 4 Ta 2.78, 4 P 2.78
W: 0.0000 0.5000 0.7500 x2  8 P 2.75-2.78, 4 Ta 2.78

## Properties
**Mass density**: 11.8 g/cm3
**Energy relative to the elements**: 0.18 eV per atom
**N(E_F)**: 6.852 states/eV per cell
**Crystal system**: tetragonal

10.
DFT (GGA-PBE) results for TbHo5Er2 after structural relaxation.

a = 6.6680 Å, b = 9.2330 Å, c = 9.3604 Å
α = 61.46°, β = 88.32°, γ = 87.67°
Last column: nearest neighbours and their distance in Å.
Space group P-1 (No. 2)
Inequivalent atoms, fractional coordinates:
Tb: 0.2437 0.0331 0.4563 x2  5 Ho 3.25-3.59, 2 Tb 3.34-3.50, 2 Er 3.41-3.61
Ho: 0.0818 0.0576 0.8085 x2  2 Er 3.32-3.54, 6 Ho 3.37-3.67, 1 Tb 3.55
Ho: 0.1083 0.3320 0.0686 x2  2 Ho 3.05-3.12
Ho: 0.2849 0.6501 0.1778 x2  3 Er 3.36-3.53, 6 Ho 3.45-3.61
Ho: 0.4049 0.6677 0.8086 x2  7 Ho 3.31-3.66, 2 Er 3.31-3.51, 2 Tb 3.56-3.59
Ho: 0.4121 0.0446 0.1219 x2  3 Ho 2.97-3.31, 1 Tb 3.25
Er: 0.0791 0.6228 0.5729 x2  3 Ho 3.31-3.54, 4 Er 3.37-3.62, 2 Tb 3.61-3.67
Er: 0.4192 0.3145 0.5568 x2  4 Er 3.28-3.62, 5 Ho 3.32-3.53, 1 Tb 3.41

## Properties
**Mass density**: 8.7 g/cm3
**ΔE to the lowest computed polymorph**: 127 meV per atom
**Energy relative to the elements**: 0.14 eV per atom
**N(E_F)**: 23.810 states/eV per cell
**Crystal system**: triclinic

11.
DFT (GGA-PBE) results for MgTaMo2Au after structural relaxation.

a = 4.9090 Å, b = 4.9090 Å, c = 4.9268 Å
α = 90.00°, β = 90.00°, γ = 90.00°
Last column: nearest neighbours and their distance in Å.
Space group P4/mmm (No. 123)
Inequivalent atoms, fractional coordinates:
Mg: 0.0000 0.0000 0.0000 x1  4 Ta 3.47, 8 Mo 3.48
Ta: 0.5000 0.5000 0.0000 x1  2 Au 2.46
Mo: 0.0000 0.5000 0.5000 x2  2 Au 2.45
Au: 0.5000 0.5000 0.5000 x1  4 Mo 2.45, 2 Ta 2.46

## Properties
**Mass density**: 8.3 g/cm3
**Energy relative to the elements**: 1.89 eV per atom
**N(E_F)**: 9.155 states/eV per cell
**Crystal system**: tetragonal

12.
DFT (GGA-PBE) results for CrCdPb after structural relaxation.

a = 3.4053 Å, b = 3.4053 Å, c = 7.0491 Å
α = 90.00°, β = 90.00°, γ = 120.00°
Last column: nearest neighbours and their distance in Å.
Space group P3m1 (No. 156)
Inequivalent atoms, fractional coordinates:
Cr: 0.0000 0.0000 0.0000 x1  3 Cd 2.90, 3 Pb 3.00
Cd: 0.3333 0.6667 0.6967 x1  3 Cr 2.90
Pb: 0.6667 0.3333 0.3206 x1  3 Cr 3.00, 3 Cd 3.30

## Properties
**Mass density**: 8.7 g/cm3
**ΔE to the lowest computed polymorph**: 63 meV per atom
**Energy relative to the elements**: 0.47 eV per atom
**N(E_F)**: 1.497 states/eV per cell
**Crystal system**: trigonal

Calculated values (Ry per atom) of energy for the records, taken in order: -0.3279 -0.2185 -0.3440 -0.4609 -0.3790 -0.3335 -0.2190 -0.2828 -0.6410 -0.3261 -0.4255 -0.3143.
Calculated values (μB per formula unit) of total moment for the records, taken in order: 0.00 4.95 0.00 0.00 6.01 3.11 0.00 2.17 0.00 0.00 0.00 4.05.